Entry 1:
The following is a PBE-GGA calculation of an optimized crystal structure of Li2CePb3S6, from the Alexandria database.

Values from the calculation:
E_form (uncorrected) in eV per atom: -1.031
Calculated volume in Å³/f.u.: 287.7
Theoretical density in g/cm³: 5.6

Lattice parameters (Å, degrees): 6.9709 12.1580 7.1454 90.00 108.14 90.00
With the nearest neighbours (Å) after each atom.
Space group C2/m (No. 12)
Symmetry-distinct sites (fractional):
Li (0.0000, 0.1791, 0.0000) [4 per cell]  6 S 2.72-3.01
Ce (0.0000, 0.5000, 0.0000) [2 per cell]  6 S 2.74-2.75
Pb (0.0000, 0.0000, 0.5000) [2 per cell]  6 S 2.96-2.98
Pb (0.0000, 0.3325, 0.5000) [4 per cell]  6 S 2.91-3.06
S (0.2396, 0.3386, 0.2203) [8 per cell]  2 Li 2.72-2.76, 1 Ce 2.74, 2 Pb 2.98
S (0.2406, 0.5000, 0.7593) [4 per cell]  1 Ce 2.75, 3 Pb 2.91-2.96, 2 Li 3.01

Entry 2:
The following is a PBE-GGA calculation of an optimized crystal structure of Li2CeSc2Pb2, from the Alexandria database.

Values from the calculation:
ΔE_f in eV/atom: -0.281
DOS(E_F) in states/eV per cell: 34.1
Calculated volume in Å³/f.u.: 170.6
Theoretical density in g/cm³: 6.4

Lattice parameters (Å, degrees): 4.7945 4.7945 25.7158 90.00 90.00 120.00
With the nearest neighbours (Å) after each atom.
Space group R-3m (No. 166, hexagonal axes)
Symmetry-distinct sites (fractional):
Li (0.0000, 0.0000, 0.0690) [6 per cell]  3 Pb 2.82, 3 Sc 2.92
Ce (0.0000, 0.0000, 0.5000) [3 per cell]  6 Pb 3.39, 2 Sc 3.45, 6 Li 3.74
Sc (0.0000, 0.0000, 0.3660) [6 per cell]  3 Li 2.92, 4 Pb 3.14-3.17, 3 Sc 3.24
Pb (0.0000, 0.0000, 0.2428) [6 per cell]  3 Li 2.82, 3 Sc 3.14

Entry 3:
The following is a PBE-GGA calculation of an optimized crystal structure of Li2CePb3Se6, from the Alexandria database.

Values from the calculation:
E_form (uncorrected) in eV per atom: -0.991
Calculated volume in Å³/f.u.: 321.8
Theoretical density in g/cm³: 6.4

Lattice parameters (Å, degrees): 7.2593 12.6004 7.4238 90.00 108.61 90.00
With the nearest neighbours (Å) after each atom.
Space group C2/m (No. 12)
Symmetry-distinct sites (fractional):
Li (0.0000, 0.1739, 0.0000) [4 per cell]  6 Se 2.86-3.02
Ce (0.0000, 0.5000, 0.0000) [2 per cell]  6 Se 2.86-2.88
Pb (0.0000, 0.0000, 0.5000) [2 per cell]  6 Se 3.08-3.09
Pb (0.0000, 0.3342, 0.5000) [4 per cell]  6 Se 3.04-3.15
Se (0.2407, 0.3365, 0.2238) [8 per cell]  2 Li 2.86-2.88, 1 Ce 2.86, 3 Pb 3.09-3.15
Se (0.2487, 0.5000, 0.7648) [4 per cell]  1 Ce 2.88, 2 Li 3.02, 3 Pb 3.04-3.08

Entry 4:
The following is a PBE-GGA calculation of an optimized crystal structure of LiCePbSe3, from the Alexandria database.

Values from the calculation:
DOS(E_F) in states/eV per cell: 12.5
E_form (uncorrected) in eV per atom: -1.213
Calculated volume in Å³/f.u.: 164.1
Theoretical density in g/cm³: 6.0

Lattice parameters (Å, degrees): 8.9683 4.0857 9.0984 90.00 100.19 90.00
With the nearest neighbours (Å) after each atom.
Space group P2_1/m (No. 11)
Symmetry-distinct sites (fractional):
Li (0.0916, 0.2500, 0.0881) [2 per cell]  4 Se 2.55-2.57
Ce (0.1640, 0.2500, 0.7177) [2 per cell]  7 Se 3.03-3.10
Pb (0.3459, 0.7500, 0.3283) [2 per cell]  6 Se 2.95-3.28
Se (0.0945, 0.2500, 0.3714) [2 per cell]  1 Li 2.57
Se (0.1969, 0.7500, 0.9721) [2 per cell]  3 Li 2.55-2.56
Se (0.3951, 0.7500, 0.6574) [2 per cell]  3 Pb 2.95-3.08, 2 Ce 3.03

Entry 5:
The following is a PBE-GGA calculation of an optimized crystal structure of LiCePb2Se4, from the Alexandria database.

Values from the calculation:
DOS(E_F) in states/eV per cell: 6.6
E_form (uncorrected) in eV per atom: -1.049
Calculated volume in Å³/f.u.: 222.9
Theoretical density in g/cm³: 6.5

Lattice parameters (Å, degrees): 7.2802 4.3057 7.5078 90.00 108.75 90.00
With the nearest neighbours (Å) after each atom.
Space group P2/m (No. 10)
Symmetry-distinct sites (fractional):
Li (0.0000, 0.0000, 0.0000) [1 per cell]  6 Se 2.90-2.97
Ce (0.5000, 0.5000, 0.0000) [1 per cell]  6 Se 2.93-2.99
Pb (0.0000, 0.5000, 0.5000) [1 per cell]  6 Se 3.08-3.11
Pb (0.5000, 0.0000, 0.5000) [1 per cell]  6 Se 3.12
Se (0.2441, 0.5000, 0.2325) [2 per cell]  1 Ce 2.93, 2 Li 2.97, 3 Pb 3.08-3.12
Se (0.2507, 0.0000, 0.7684) [2 per cell]  1 Li 2.90, 2 Ce 2.99, 3 Pb 3.11-3.12

Entry 6:
The following is a PBE-GGA calculation of an optimized crystal structure of Li2Ce2SmPb2, from the Alexandria database.

Values from the calculation:
ΔE_f in eV/atom: -0.304
DOS(E_F) in states/eV per cell: 35.1
Calculated volume in Å³/f.u.: 176.5
Theoretical density in g/cm³: 8.1

Lattice parameters (Å, degrees): 4.6772 4.6772 27.9498 90.00 90.00 120.00
With the nearest neighbours (Å) after each atom.
Space group R-3m (No. 166, hexagonal axes)
Symmetry-distinct sites (fractional):
Li (0.0000, 0.0000, 0.0862) [6 per cell]  3 Pb 2.72
Ce (0.0000, 0.0000, 0.3554) [6 per cell]  3 Ce 2.97, 3 Li 3.24
Sm (0.0000, 0.0000, 0.5000) [3 per cell]  6 Pb 3.29, 6 Li 3.51
Pb (0.0000, 0.0000, 0.2341) [6 per cell]  3 Li 2.72

How do the records compare in total magnetic moment? In the order shown, they have 0.00, 6.17, 0.22, 2.00, 1.00, 7.12 Bohr magnetons per cell.